Entry 1:
## TlCo3N (PBE-GGA)

Data for an optimized crystal structure of TlCo3N.

Lattice parameters (Å, degrees): 4.9332 4.9332 4.9332 90.00 90.00 90.00
Last column: magnetic moment on the atom in μB.
Positions (direct):
Co1 0.0000 0.5000 0.0000  2.00
Tl1 0.0000 0.0000 0.0000  -0.12
Co2 0.5000 0.0000 0.0000  1.92
N1 0.5000 0.5000 0.5000  1.53
Co3 0.0000 0.0000 0.5000  2.01

Values from the calculation:
ΔE_f (raw), eV per atom: 2.78
E, eV/atom: -3.625

=====

Entry 2:
## TmCoN (PBE-GGA)

Data for an optimized crystal structure of TmCoN.

Lattice parameters (Å, degrees): 3.0952 3.0936 9.7621 90.00 90.00 120.02
Positions (direct):
Tm1 0.2774 0.5548 0.6537
Co1 0.6113 0.2226 0.8851
Tm2 0.2774 0.5548 0.3463
N1 0.6109 0.2217 0.5000
N2 0.2784 0.5567 0.0000
Co2 0.6113 0.2226 0.1149

Values from the calculation:
ΔE_f (raw), eV per atom: -0.08
E, eV/atom: -6.713